Record 1
A plane-wave DFT calculation with PBE was carried out for a relaxed Nd3HgI7 crystal.

```
Nd3HgI7
1.0
7.301 0.000 0.000
0.000 8.699 0.000
0.000 -4.350 7.534
Nd Hg I
3 1 7
Direct
0.784 0.493 0.507 Nd
0.784 0.493 0.985 Nd
0.784 0.015 0.507 Nd
0.450 0.333 0.667 Hg
0.052 0.168 0.832 I
0.052 0.168 0.335 I
0.039 0.667 0.333 I
0.539 0.836 0.164 I
0.539 0.327 0.164 I
0.539 0.836 0.673 I
0.052 0.665 0.832 I
```

Results
Raw formation energy, eV per formula unit: -12.38
Space group: P3m1, No. 156


Record 2
A plane-wave DFT calculation with PBE was carried out for a relaxed PmTmAs2 crystal.

```
PmTmAs2
1.0
-1.958 -0.799 3.577
3.930 -1.238 -0.540
2.196 6.831 0.312
Pm Tm As
1 1 2
Direct
0.000 0.500 0.500 Pm
0.000 0.000 0.000 Tm
0.507 0.254 0.761 As
0.493 0.746 0.239 As
```

Results
E_form, eV/atom: -1.509
Space group: R-3m, No. 166
ΔE to the lowest computed polymorph, meV/atom: 0


Record 3
A plane-wave DFT calculation with PBE was carried out for a relaxed CoBi4 crystal.

```
CoBi4
1.0
-0.034 1.898 5.644
-3.935 -5.428 1.801
5.719 -3.719 1.285
Co Bi
2 8
Direct
0.750 0.500 0.500 Co
0.250 0.500 0.500 Co
0.500 0.654 0.192 Bi
0.000 0.654 0.808 Bi
0.000 0.808 0.346 Bi
0.500 0.808 0.654 Bi
0.000 0.192 0.654 Bi
0.500 0.192 0.346 Bi
0.000 0.346 0.192 Bi
0.500 0.346 0.808 Bi
```

Results
E_form, eV/atom: 0.111
Space group: P4/mcc, No. 124
ΔE to the lowest computed polymorph, meV/atom: 0


Record 4
A plane-wave DFT calculation with PBE was carried out for a relaxed Pu2HgPt crystal.

```
Pu2HgPt
1.0
-1.879 3.352 -3.401
-4.724 1.907 0.618
-0.629 4.918 1.324
Hg Pt Pu
1 1 2
Direct
0.000 0.000 0.000 Hg
0.500 0.500 0.500 Pt
0.250 0.250 0.250 Pu
0.750 0.750 0.750 Pu
```

Results
E_form, eV/atom: -0.348
Space group: Fm-3m, No. 225
ΔE to the lowest computed polymorph, meV/atom: 97